Record 1
VASP calculation (PBE-GGA) on an optimized crystal structure of MgAlVOs.

As for the formation enthalpy at 0 K: -0.260 eV/atom. Its total energy is -6.68 eV per atom. Its space group is F-43m, No. 216.

Unit cell a=4.3451 b=4.3451 c=4.3451 alpha=60.00 beta=60.00 gamma=60.00
Last column: nearest neighbours and their distance in Å.
Positions (direct):
V 0.7500 0.7500 0.7500  4 Os 2.66, 4 Mg 2.66
Os 0.0000 0.0000 0.0000  4 Al 2.66, 4 V 2.66
Mg 0.5000 0.5000 0.5000  4 V 2.66, 4 Al 2.66
Al 0.2500 0.2500 0.2500  4 Mg 2.66, 4 Os 2.66



Record 2
VASP calculation (PBE-GGA) on an optimized crystal structure of MgAlP2.

The calculation puts the energy above the lowest structure with this stoichiometry at 392 meV per atom. As for the formation enthalpy at 0 K: 0.054 eV/atom. Its total energy is -3.99 eV per atom. Its space group is Fm-3m, No. 225.

Unit cell a=4.5120 b=4.5120 c=4.5120 alpha=60.00 beta=60.00 gamma=60.00
Last column: nearest neighbours and their distance in Å.
Positions (direct):
Mg 0.0000 0.0000 0.0000  8 P 2.76
P 0.7500 0.7500 0.7500  4 Mg 2.76, 4 Al 2.76
P 0.2500 0.2500 0.2500  4 Mg 2.76, 4 Al 2.76
Al 0.5000 0.5000 0.5000  8 P 2.76



Record 3
VASP calculation (PBE-GGA) on an optimized crystal structure of Mg2AlP.

The calculation puts the energy above the lowest structure with this stoichiometry at 310 meV per atom. As for the formation enthalpy at 0 K: 0.065 eV/atom. Its total energy is -3.02 eV per atom. Its space group is Fm-3m, No. 225.

Unit cell a=4.7504 b=4.7504 c=4.7504 alpha=60.00 beta=60.00 gamma=60.00
Last column: nearest neighbours and their distance in Å.
Positions (direct):
Al 0.0000 0.0000 0.0000  8 Mg 2.91
Mg 0.2500 0.2500 0.2500  4 P 2.91, 4 Al 2.91
Mg 0.7500 0.7500 0.7500  4 P 2.91, 4 Al 2.91
P 0.5000 0.5000 0.5000  8 Mg 2.91



Record 4
VASP calculation (PBE-GGA) on an optimized crystal structure of Mg2AlP.

The calculation puts the energy above the lowest structure with this stoichiometry at 252 meV per atom. As for the formation enthalpy at 0 K: 0.007 eV/atom. Its total energy is -3.08 eV per atom. Its space group is I-42d, No. 122.

Unit cell a=7.8703 b=7.8703 c=6.1872 alpha=50.50 beta=50.50 gamma=90.00
Last column: nearest neighbours and their distance in Å.
Positions (direct):
Mg 0.8750 0.9421 0.7500  2 P 2.53
Mg 0.6921 0.1250 0.2500  2 P 2.53
Mg 0.0579 0.6250 0.2500  2 P 2.53
Mg 0.3750 0.3079 0.7500  2 P 2.53
Al 0.2500 0.7500 0.5000  2 P 2.70
Al 0.5000 0.5000 0.0000  2 P 2.70
P 0.0000 0.0000 0.0000  4 Mg 2.53, 2 Al 2.70
P 0.7500 0.2500 0.5000  4 Mg 2.53, 2 Al 2.70



Record 5
VASP calculation (PBE-GGA) on an optimized crystal structure of Mg2AlP.

The calculation puts the energy above the lowest structure with this stoichiometry at 403 meV per atom. As for the formation enthalpy at 0 K: 0.158 eV/atom. Its total energy is -2.93 eV per atom. Its space group is F-43m, No. 216.

Unit cell a=4.7660 b=4.7660 c=4.7660 alpha=60.00 beta=60.00 gamma=60.00
Last column: nearest neighbours and their distance in Å.
Positions (direct):
Al 0.5000 0.5000 0.5000  4 Mg 2.92, 4 P 2.92
Mg 0.0000 0.0000 0.0000  4 P 2.92, 4 Mg 2.92
Mg 0.2500 0.2500 0.2500  4 Mg 2.92, 4 Al 2.92
P 0.7500 0.7500 0.7500  4 Mg 2.92, 4 Al 2.92



Record 6
VASP calculation (PBE-GGA) on an optimized crystal structure of MgAlP2.

The calculation puts the energy above the lowest structure with this stoichiometry at 663 meV per atom. As for the formation enthalpy at 0 K: 0.325 eV/atom. Its total energy is -3.71 eV per atom. Its space group is F-43m, No. 216.

Unit cell a=4.5678 b=4.5678 c=4.5678 alpha=60.00 beta=60.00 gamma=60.00
Last column: nearest neighbours and their distance in Å.
Positions (direct):
Al 0.5000 0.5000 0.5000  4 Mg 2.80, 4 P 2.80
P 0.2500 0.2500 0.2500  4 Al 2.80, 4 P 2.80
P 0.0000 0.0000 0.0000  4 Mg 2.80, 4 P 2.80
Mg 0.7500 0.7500 0.7500  4 Al 2.80, 4 P 2.80



Record 7
VASP calculation (PBE-GGA) on an optimized crystal structure of MgAlP2.

The calculation puts the energy above the lowest structure with this stoichiometry at 324 meV per atom. As for the formation enthalpy at 0 K: -0.015 eV/atom. Its total energy is -4.05 eV per atom. Its space group is Cmmm, No. 65.

Unit cell a=3.1855 b=3.1855 c=7.1477 alpha=90.00 beta=90.00 gamma=109.86
Last column: nearest neighbours and their distance in Å.
Positions (direct):
P 0.0000 0.0000 0.4844  2 Al 2.48, 2 Mg 2.64
P 0.0000 0.0000 0.0156  2 Al 2.48, 2 Mg 2.64
Al 0.5000 0.5000 0.2500  4 P 2.48
Mg 0.5000 0.5000 0.7500  4 P 2.64



Record 8
VASP calculation (PBE-GGA) on an optimized crystal structure of Mg2AlP.

The calculation puts the energy above the lowest structure with this stoichiometry at 119 meV per atom. As for the formation enthalpy at 0 K: -0.126 eV/atom. Its total energy is -3.21 eV per atom. Its space group is Cm, No. 8.

Unit cell a=6.0390 b=6.0390 c=4.4517 alpha=68.28 beta=68.28 gamma=30.61
Last column: nearest neighbours and their distance in Å.
Positions (direct):
Mg 0.0035 0.0035 0.9963  4 P 2.74, 2 Al 3.03-3.04
Mg 0.7935 0.7935 0.7069  2 P 2.80, 4 Al 2.93
Al 0.1959 0.1959 0.3047  2 P 2.58
P 0.5071 0.5071 0.4922  2 Al 2.58, 6 Mg 2.74-2.80